# CeBrCl | Alexandria via LeMat-Bulk | PBE | relaxed
# Space group: No. 216
# Mass density, Mg/m³: 4.7
# Uncorrected formation energy, eV/atom: -1.62
# Crystal system: cubic
data_CeBrCl
_symmetry_space_group_name_H-M 'P 1'
_symmetry_Int_Tables_number 1
_cell_length_a 5.0238
_cell_length_b 5.0238
_cell_length_c 5.0238
_cell_angle_alpha 60.00
_cell_angle_beta 60.00
_cell_angle_gamma 60.00
loop_
_symmetry_equiv_pos_as_xyz
'x,y,z'
loop_
_atom_site_label
_atom_site_type_symbol
_atom_site_fract_x
_atom_site_fract_y
_atom_site_fract_z
Cl1 Cl 0.5000 0.5000 0.5000
Br1 Br 0.0000 0.0000 0.0000
Ce1 Ce 0.2500 0.2500 0.2500